{"formula": "Zr4SbTe", "functional": "PBE-GGA", "state": "optimized geometry", "cell": [[0.0000, 4.1441, 4.1441], [4.1441, 0.0000, 4.1441], [4.1441, 4.1441, 0.0000]], "species": ["Zr", "Zr", "Zr", "Zr", "Sb", "Te"], "frac_coords": [[0.1245, 0.1245, 0.1245], [0.1245, 0.1245, 0.6265], [0.1245, 0.6265, 0.1245], [0.6265, 0.1245, 0.1245], [0.7500, 0.7500, 0.7500], [0.5000, 0.5000, 0.5000]], "rho_g_cm3": 7.2, "final_energy_ev_per_cell": -41.4, "total_magnetization_mub_per_fu": 0.0, "e_above_lowest_polymorph_ev_per_atom": 0.118, "formation_energy_uncorrected_mev_per_atom": 5.1}

***

{"formula": "YCu2W", "functional": "PBE-GGA", "state": "optimized geometry", "cell": [[-1.4729, 2.3801, 4.7712], [1.4729, -2.3801, 4.7712], [1.4729, 2.3801, -4.7712]], "species": ["Y", "Cu", "Cu", "W"], "frac_coords": [[0.0000, 0.0000, 0.0000], [0.2677, 0.7677, 0.5000], [0.4786, 0.4786, 0.0000], [0.7211, 0.2211, 0.5000]], "rho_g_cm3": 9.9, "formation_enthalpy_0k_ev_per_atom": 0.3988, "final_energy_ev_per_cell": -26.0, "total_magnetization_mub_per_fu": 0.0, "e_above_lowest_polymorph_ev_per_atom": 0.103}

***

{"formula": "MnB2SN", "functional": "PBE-GGA", "state": "optimized geometry", "cell": [[3.9247, 0.0000, 0.0000], [0.0000, 3.9247, 0.0000], [0.0000, 0.0000, 4.1778]], "species": ["Mn", "B", "B", "S", "N"], "frac_coords": [[0.0000, 0.0000, 0.0000], [0.0000, 0.5000, 0.0000], [0.5000, 0.0000, 0.0000], [0.0000, 0.0000, 0.5000], [0.5000, 0.5000, 0.5000]], "rho_g_cm3": 3.2, "final_energy_ev_per_cell": -26.2, "total_magnetization_mub_per_fu": 2.5, "formation_energy_uncorrected_mev_per_atom": 1747.6}

***

{"formula": "Mg3Zn5Pd2", "functional": "PBE-GGA", "state": "optimized geometry", "cell": [[4.2264, -9.4189, 0.0000], [4.2264, 9.4189, 0.0000], [-3.1978, 0.0000, 4.1600]], "species": ["Mg", "Mg", "Mg", "Mg", "Mg", "Mg", "Zn", "Zn", "Zn", "Zn", "Zn", "Zn", "Zn", "Zn", "Zn", "Zn", "Pd", "Pd", "Pd", "Pd"], "frac_coords": [[0.0001, 0.9999, 0.2500], [0.9999, 0.0001, 0.7500], [0.1244, 0.5783, 0.8511], [0.4217, 0.8756, 0.6489], [0.5783, 0.1244, 0.3511], [0.8756, 0.4217, 0.1489], [0.1508, 0.8492, 0.2500], [0.1508, 0.8492, 0.7500], [0.1969, 0.3703, 0.7756], [0.3703, 0.1969, 0.2756], [0.4971, 0.5029, 0.2500], [0.5029, 0.4971, 0.7500], [0.6297, 0.8031, 0.7244], [0.8031, 0.6297, 0.2244], [0.8492, 0.1508, 0.2500], [0.8492, 0.1508, 0.7500], [0.2116, 0.4744, 0.3366], [0.4744, 0.2116, 0.8366], [0.5256, 0.7884, 0.1634], [0.7884, 0.5256, 0.6634]], "rho_g_cm3": 6.1, "formation_enthalpy_0k_ev_per_atom": -0.2533, "final_energy_ev_per_cell": -48.1, "total_magnetization_mub_per_fu": 0.0}

***

{"formula": "MnAl2In", "functional": "PBE-GGA", "state": "optimized geometry", "cell": [[-1.3751, 2.1150, 6.3179], [1.3751, -2.1150, 6.3179], [1.3751, 2.1150, -6.3179]], "species": ["Mn", "Al", "Al", "In"], "frac_coords": [[0.0000, 0.0000, 0.0000], [0.1665, 0.6665, 0.5000], [0.5013, 0.5013, 0.0000], [0.8092, 0.3092, 0.5000]], "rho_g_cm3": 5.1, "formation_enthalpy_0k_ev_per_atom": 0.0186, "final_energy_ev_per_cell": -19.3, "total_magnetization_mub_per_fu": 1.9}

***

{"formula": "Ba2Ac5Pb4", "functional": "PBE-GGA", "state": "optimized geometry", "cell": [[10.0090, -2.9188, 0.0000], [10.0090, 2.9188, 0.0000], [-0.6128, 0.0000, 7.6877]], "species": ["Ba", "Ba", "Ac", "Ac", "Ac", "Ac", "Ac", "Pb", "Pb", "Pb", "Pb"], "frac_coords": [[0.0969, 0.0969, 0.0001], [0.9031, 0.9031, 0.9999], [0.0000, 0.0000, 0.5000], [0.3069, 0.3069, 0.2326], [0.3385, 0.3385, 0.7028], [0.6615, 0.6615, 0.2972], [0.6931, 0.6931, 0.7674], [0.1687, 0.1687, 0.5219], [0.4840, 0.4840, 0.2101], [0.5160, 0.5160, 0.7899], [0.8313, 0.8313, 0.4781]], "rho_g_cm3": 8.3, "formation_enthalpy_0k_ev_per_atom": -0.3600, "final_energy_ev_per_cell": -43.2, "total_magnetization_mub_per_fu": 0.0}

***

{"formula": "Pr2NpSnN5", "functional": "PBE-GGA", "state": "optimized geometry", "cell": [[1.7555, -7.1714, 0.0000], [1.7555, 7.1714, 0.0000], [0.0000, 0.0000, 10.7628]], "species": ["Pr", "Pr", "Pr", "Pr", "Np", "Np", "Sn", "Sn", "N", "N", "N", "N", "N", "N", "N", "N", "N", "N"], "frac_coords": [[0.1109, 0.8891, 0.5000], [0.1337, 0.8663, 0.0942], [0.8663, 0.1337, 0.5942], [0.8891, 0.1109, 0.0000], [0.2162, 0.7838, 0.8121], [0.7838, 0.2162, 0.3121], [0.4818, 0.5182, 0.2716], [0.5182, 0.4818, 0.7716], [0.0581, 0.9419, 0.8629], [0.2807, 0.7193, 0.4425], [0.3036, 0.6964, 0.1835], [0.3678, 0.6322, 0.8079], [0.4954, 0.5046, 0.5815], [0.5046, 0.4954, 0.0815], [0.6322, 0.3678, 0.3079], [0.6964, 0.3036, 0.6835], [0.7193, 0.2807, 0.9425], [0.9419, 0.0581, 0.3629]], "rho_g_cm3": 8.7, "final_energy_ev_per_cell": -151.3, "total_magnetization_mub_per_fu": 2.0, "formation_energy_uncorrected_mev_per_atom": -835.9}

***

{"formula": "Cs6MgTe4", "functional": "PBE-GGA", "state": "optimized geometry", "cell": [[11.8792, 0.0000, 0.0000], [-5.9396, 10.2877, 0.0000], [0.0000, 0.0000, 9.3286]], "species": ["Cs", "Cs", "Cs", "Cs", "Cs", "Cs", "Cs", "Cs", "Cs", "Cs", "Cs", "Cs", "Mg", "Mg", "Te", "Te", "Te", "Te", "Te", "Te", "Te", "Te"], "frac_coords": [[0.0560, 0.5280, 0.0000], [0.1472, 0.2944, 0.3205], [0.1472, 0.8528, 0.3205], [0.2944, 0.1472, 0.8205], [0.4720, 0.5280, 0.0000], [0.4720, 0.9440, 0.0000], [0.5280, 0.0560, 0.5000], [0.5280, 0.4720, 0.5000], [0.7056, 0.8528, 0.3205], [0.8528, 0.1472, 0.8205], [0.8528, 0.7056, 0.8205], [0.9440, 0.4720, 0.5000], [0.3333, 0.6667, 0.6120], [0.6667, 0.3333, 0.1120], [0.1994, 0.3989, 0.7090], [0.1994, 0.8006, 0.7090], [0.3333, 0.6667, 0.3015], [0.3989, 0.1994, 0.2090], [0.6011, 0.8006, 0.7090], [0.6667, 0.3333, 0.8015], [0.8006, 0.1994, 0.2090], [0.8006, 0.6011, 0.2090]], "rho_g_cm3": 3.9, "final_energy_ev_per_cell": -61.9, "total_magnetization_mub_per_fu": 0.0, "formation_energy_uncorrected_mev_per_atom": -1062.6}

***

{"formula": "SnHOs", "functional": "PBE-GGA", "state": "optimized geometry", "cell": [[4.8708, -1.5668, 0.0000], [4.8708, 1.5668, 0.0000], [-0.9453, 0.0000, 5.4629]], "species": ["Sn", "Sn", "H", "H", "Os", "Os"], "frac_coords": [[0.1181, 0.1181, 0.3152], [0.8819, 0.8819, 0.6848], [0.4180, 0.4180, 0.2011], [0.5820, 0.5820, 0.7989], [0.1730, 0.1730, 0.8218], [0.8270, 0.8270, 0.1782]], "rho_g_cm3": 12.3, "final_energy_ev_per_cell": -35.7, "total_magnetization_mub_per_fu": 0.0, "e_above_lowest_polymorph_ev_per_atom": 0.030}

***

{"formula": "Np2CuF8", "functional": "PBE-GGA", "state": "optimized geometry", "cell": [[6.6842, -2.0893, 0.0000], [6.6842, 2.0893, 0.0000], [-0.1273, 0.0000, 7.2455]], "species": ["Np", "Np", "Cu", "F", "F", "F", "F", "F", "F", "F", "F"], "frac_coords": [[0.2472, 0.2472, 0.2501], [0.7528, 0.7528, 0.7499], [0.0000, 0.0000, 0.5000], [0.0837, 0.0837, 0.2946], [0.2341, 0.2341, 0.5869], [0.2815, 0.2815, 0.9221], [0.4030, 0.4030, 0.2845], [0.5970, 0.5970, 0.7155], [0.7185, 0.7185, 0.0779], [0.7659, 0.7659, 0.4131], [0.9163, 0.9163, 0.7054]], "rho_g_cm3": 5.7, "final_energy_ev_per_cell": -77.8, "total_magnetization_mub_per_fu": 7.0, "formation_energy_uncorrected_mev_per_atom": -2983.9}

***

{"formula": "Sm3InSe2", "functional": "PBE-GGA", "state": "optimized geometry", "cell": [[-2.0692, 3.0322, 6.6104], [2.0692, -3.0322, 6.6104], [2.0692, 3.0322, -6.6104]], "species": ["Sm", "Sm", "Sm", "In", "Se", "Se"], "frac_coords": [[0.0000, 0.0000, 0.0000], [0.3224, 0.3224, 0.0000], [0.6776, 0.6776, 0.0000], [0.5000, 0.0000, 0.5000], [0.1642, 0.6642, 0.5000], [0.8358, 0.3358, 0.5000]], "rho_g_cm3": 7.2, "final_energy_ev_per_cell": -32.0, "total_magnetization_mub_per_fu": 0.0, "formation_energy_uncorrected_mev_per_atom": -1356.7}

***

{"formula": "Ce4SiHg2", "functional": "PBE-GGA", "state": "optimized geometry", "cell": [[1.7401, -9.8415, 0.0000], [1.7401, 9.8415, 0.0000], [0.0000, 0.0000, 5.6692]], "species": ["Ce", "Ce", "Ce", "Ce", "Si", "Hg", "Hg"], "frac_coords": [[0.1401, 0.8599, 0.0000], [0.3006, 0.6994, 0.5000], [0.6994, 0.3006, 0.5000], [0.8599, 0.1401, 0.0000], [0.5000, 0.5000, 0.0000], [0.0681, 0.9319, 0.5000], [0.9319, 0.0681, 0.5000]], "rho_g_cm3": 8.5, "final_energy_ev_per_cell": -28.6, "total_magnetization_mub_per_fu": 2.6, "e_above_lowest_polymorph_ev_per_atom": 0.379, "formation_energy_uncorrected_mev_per_atom": 166.2}